! Ce3Pm4PrN8, relaxed, DFT PBE-GGA; values from VASP
&SYSTEM
  ibrav = 0, nat = 16, ntyp = 4
/
ATOMIC_SPECIES
N 14.01 N.upf
Pm 145.00 Pm.upf
Ce 140.12 Ce.upf
Pr 140.91 Pr.upf
ATOMIC_POSITIONS crystal
N 0.252 0.742 0.990
N 0.262 0.258 0.010
N 0.738 0.742 0.990
N 0.252 0.742 0.504
N 0.748 0.258 0.496
N 0.748 0.258 0.010
N 0.254 0.261 0.507
N 0.746 0.739 0.493
Pm 0.000 0.000 0.000
Pm 0.500 0.000 0.000
Pm 0.500 0.000 0.500
Pm 0.000 0.000 0.500
Ce 0.500 0.500 0.000
Ce 0.500 0.500 0.500
Ce 0.000 0.500 0.500
Pr 0.000 0.500 0.000
CELL_PARAMETERS angstrom
-4.923 4.332 -2.986
-3.137 0.860 6.421
7.018 1.426 -0.808
! final energy	-131.54	eV for the cell shown
! density of states at the Fermi level	8.7	states/eV/f.u.
! M_tot	0.0	Bohr magnetons per cell